VASP calculation (PBE-GGA) on crystalline PuIrPb at its relaxed geometry.

Computed properties:
The value obtained for the magnetization is 1.8283 μB per atom. The value obtained for the formation energy is -182 meV per atom. As for the volume: 76 Å³ per cell. As for the space group: No. 216.

a b c (Å): 4.747 4.747 4.747
angles (deg): 60.00 60.00 60.00
Each line ends with the local moment (μB).
Atoms (fractional coordinates):
Pb 0.500 0.500 0.500  0.04
Ir 0.250 0.250 0.250  -0.09
Pu 0.000 0.000 0.000  5.18

***

VASP calculation (PBE-GGA) on crystalline Er4BiPbN at its relaxed geometry.

Computed properties:
The value obtained for the magnetization is 0.0000 μB per atom. The total energy comes out at -5.76 eV per atom. As for the volume: 352 Å³ per cell. As for the space group: No. 63.

a b c (Å): 6.650 6.648 8.628
angles (deg): 90.00 112.67 90.00
Atoms (fractional coordinates):
Er 0.000 0.500 0.500
Er 0.905 0.250 0.810
Pb 0.896 0.750 0.791
Er 0.597 0.250 0.194
Er 0.500 0.000 0.500
Er 0.095 0.750 0.190
Er 0.403 0.750 0.806
Er 0.500 0.500 0.500
Pb 0.104 0.250 0.209
N 0.249 0.750 0.498
Er 0.000 0.000 0.500
Bi 0.604 0.750 0.208
Bi 0.396 0.250 0.792
N 0.751 0.250 0.502

***

VASP calculation (PBE-GGA) on crystalline HoMgNi5Ge2 at its relaxed geometry.

Computed properties:
The value obtained for the magnetization is 0.0000 μB per atom. The value obtained for the formation energy is -282 meV per atom. As for the volume: 134 Å³ per cell. As for the space group: No. 123.

a b c (Å): 3.946 3.946 8.628
angles (deg): 90.00 90.00 90.00
Atoms (fractional coordinates):
Ge 0.500 0.500 0.859
Ho 0.000 0.000 0.500
Ni 0.500 0.500 0.500
Ni 0.500 0.000 0.280
Ni 0.000 0.500 0.720
Ge 0.500 0.500 0.141
Mg 0.000 0.000 0.000
Ni 0.000 0.500 0.280
Ni 0.500 0.000 0.720